{
  "formula": "Li4U3S8",
  "functional": "PBE",
  "state": "optimized geometry",
  "formation_energy_uncorrected_ev_per_atom": -1.345,
  "magmom_total_mub_per_fu": 6.000,
  "e_above_lowest_polymorph_mev_per_atom": 0,
  "lattice": [[-3.605, -6.655, 1.945], [4.197, -6.404, 1.564], [0.450, -2.648, 7.472]],
  "species": ["Li", "Li", "Li", "Li", "U", "U", "U", "S", "S", "S", "S", "S", "S", "S", "S"],
  "frac_coords": [[0.000, 0.000, 0.000], [0.364, 0.364, 0.907], [0.500, 0.500, 0.500], [0.636, 0.636, 0.093], [0.500, 0.000, 0.500], [0.000, 0.000, 0.500], [0.000, 0.500, 0.500], [0.242, 0.242, 0.274], [0.237, 0.746, 0.271], [0.746, 0.746, 0.271], [0.746, 0.237, 0.271], [0.758, 0.758, 0.726], [0.763, 0.254, 0.729], [0.254, 0.254, 0.729], [0.254, 0.763, 0.729]]
}



{
  "formula": "HfHgSb2I",
  "functional": "PBE",
  "state": "optimized geometry",
  "formation_energy_uncorrected_ev_per_atom": 0.095,
  "magmom_total_mub_per_fu": 0.000,
  "e_above_lowest_polymorph_mev_per_atom": 0,
  "lattice": [[5.575, 0.000, 0.000], [0.000, 5.575, 0.000], [0.000, 0.000, 5.733]],
  "species": ["I", "Sb", "Sb", "Hf", "Hg"],
  "frac_coords": [[0.000, 0.000, 0.500], [0.000, 0.500, 0.000], [0.500, 0.000, 0.000], [0.000, 0.000, 0.000], [0.500, 0.500, 0.500]]
}